P) # TlGa2Sn2 GGA-PBE relaxed
# size of the total moment = 0.0 μB/cell
data_TlGa2Sn2
_symmetry_space_group_name_H-M 'P 1'
_symmetry_Int_Tables_number 1
_symmetry_space_group_name_Hall 'P 1'
_cell_length_a 8.705
_cell_length_b 8.705
_cell_length_c 3.357
_cell_angle_alpha 90.00
_cell_angle_beta 90.00
_cell_angle_gamma 90.00
loop_
_atom_site_label
_atom_site_type_symbol
_atom_site_fract_x
_atom_site_fract_y
_atom_site_fract_z
Tl1 Tl 0.000 0.000 0.000
Tl2 Tl 0.500 0.500 0.000
Sn1 Sn 0.358 0.858 0.000
Sn2 Sn 0.858 0.642 0.000
Sn3 Sn 0.642 0.142 0.000
Sn4 Sn 0.142 0.358 0.000
Ga1 Ga 0.152 0.652 0.500
Ga2 Ga 0.652 0.848 0.500
Ga3 Ga 0.848 0.348 0.500
Ga4 Ga 0.348 0.152 0.500

***

Q) # TlGa2Sn2 GGA-PBE relaxed
# size of the total moment = 0.0 μB/cell
data_TlGa2Sn2
_symmetry_space_group_name_H-M 'P 1'
_symmetry_Int_Tables_number 1
_symmetry_space_group_name_Hall 'P 1'
_cell_length_a 8.533
_cell_length_b 8.533
_cell_length_c 3.464
_cell_angle_alpha 90.00
_cell_angle_beta 90.00
_cell_angle_gamma 90.00
loop_
_atom_site_label
_atom_site_type_symbol
_atom_site_fract_x
_atom_site_fract_y
_atom_site_fract_z
Tl1 Tl 0.000 0.000 0.000
Tl2 Tl 0.500 0.500 0.000
Sn1 Sn 0.155 0.655 0.500
Sn2 Sn 0.655 0.845 0.500
Sn3 Sn 0.845 0.345 0.500
Sn4 Sn 0.345 0.155 0.500
Ga1 Ga 0.361 0.861 0.000
Ga2 Ga 0.861 0.639 0.000
Ga3 Ga 0.639 0.139 0.000
Ga4 Ga 0.139 0.361 0.000

***

Verdict on stability: Q) comes out on top.

***

P) # TlGa2Sn2 GGA-PBE relaxed
# size of the total moment = 0.0 μB/cell
data_TlGa2Sn2
_symmetry_space_group_name_H-M 'P 1'
_symmetry_Int_Tables_number 1
_symmetry_space_group_name_Hall 'P 1'
_cell_length_a 4.296
_cell_length_b 6.444
_cell_length_c 11.093
_cell_angle_alpha 90.00
_cell_angle_beta 90.00
_cell_angle_gamma 109.47
loop_
_atom_site_label
_atom_site_type_symbol
_atom_site_fract_x
_atom_site_fract_y
_atom_site_fract_z
Tl1 Tl 0.071 0.142 0.750
Tl2 Tl 0.929 0.858 0.250
Ga1 Ga 0.209 0.419 0.362
Ga2 Ga 0.791 0.581 0.862
Ga3 Ga 0.209 0.419 0.138
Ga4 Ga 0.791 0.581 0.638
Sn1 Sn 0.384 0.767 0.978
Sn2 Sn 0.616 0.233 0.478
Sn3 Sn 0.616 0.233 0.022
Sn4 Sn 0.384 0.767 0.522

***

Q) # TlGa2Sn2 GGA-PBE relaxed
# size of the total moment = 0.0 μB/cell
data_TlGa2Sn2
_symmetry_space_group_name_H-M 'P 1'
_symmetry_Int_Tables_number 1
_symmetry_space_group_name_Hall 'P 1'
_cell_length_a 4.913
_cell_length_b 4.913
_cell_length_c 6.654
_cell_angle_alpha 68.34
_cell_angle_beta 68.34
_cell_angle_gamma 90.00
loop_
_atom_site_label
_atom_site_type_symbol
_atom_site_fract_x
_atom_site_fract_y
_atom_site_fract_z
Tl1 Tl 0.000 0.000 0.000
Sn1 Sn 0.373 0.373 0.253
Sn2 Sn 0.627 0.627 0.747
Ga1 Ga 0.750 0.250 0.500
Ga2 Ga 0.250 0.750 0.500

***

Verdict on stability: Q) comes out on top.

***

P) # TlGaSn2 GGA-PBE relaxed
# size of the total moment = 0.0 μB/cell
data_TlGaSn2
_symmetry_space_group_name_H-M 'P 1'
_symmetry_Int_Tables_number 1
_symmetry_space_group_name_Hall 'P 1'
_cell_length_a 4.870
_cell_length_b 4.675
_cell_length_c 4.675
_cell_angle_alpha 90.00
_cell_angle_beta 90.00
_cell_angle_gamma 90.00
loop_
_atom_site_label
_atom_site_type_symbol
_atom_site_fract_x
_atom_site_fract_y
_atom_site_fract_z
Tl1 Tl 0.500 0.500 0.500
Sn1 Sn 0.000 0.000 0.500
Sn2 Sn 0.000 0.500 0.000
Ga1 Ga 0.500 0.000 0.000

***

Q) # TlGaSn2 GGA-PBE relaxed
# size of the total moment = 0.0 μB/cell
data_TlGaSn2
_symmetry_space_group_name_H-M 'P 1'
_symmetry_Int_Tables_number 1
_symmetry_space_group_name_Hall 'P 1'
_cell_length_a 3.647
_cell_length_b 3.647
_cell_length_c 8.042
_cell_angle_alpha 90.00
_cell_angle_beta 90.00
_cell_angle_gamma 90.00
loop_
_atom_site_label
_atom_site_type_symbol
_atom_site_fract_x
_atom_site_fract_y
_atom_site_fract_z
Tl1 Tl 0.500 0.500 0.500
Sn1 Sn 0.000 0.000 0.800
Sn2 Sn 0.000 0.000 0.200
Ga1 Ga 0.500 0.500 0.000

***

R) # TlGaSn2 GGA-PBE relaxed
# size of the total moment = 0.0 μB/cell
data_TlGaSn2
_symmetry_space_group_name_H-M 'P 1'
_symmetry_Int_Tables_number 1
_symmetry_space_group_name_Hall 'P 1'
_cell_length_a 4.340
_cell_length_b 4.340
_cell_length_c 7.481
_cell_angle_alpha 73.14
_cell_angle_beta 73.14
_cell_angle_gamma 60.00
loop_
_atom_site_label
_atom_site_type_symbol
_atom_site_fract_x
_atom_site_fract_y
_atom_site_fract_z
Tl1 Tl 0.500 0.500 0.499
Ga1 Ga 0.667 0.667 0.999
Sn1 Sn 0.064 0.064 0.809
Sn2 Sn 0.269 0.269 0.194

***

Verdict on stability: Q) comes out on top.

***

P) # TlGaSn2 GGA-PBE relaxed
# size of the total moment = 0.0 μB/cell
data_TlGaSn2
_symmetry_space_group_name_H-M 'P 1'
_symmetry_Int_Tables_number 1
_symmetry_space_group_name_Hall 'P 1'
_cell_length_a 6.569
_cell_length_b 6.569
_cell_length_c 7.892
_cell_angle_alpha 65.41
_cell_angle_beta 65.41
_cell_angle_gamma 90.00
loop_
_atom_site_label
_atom_site_type_symbol
_atom_site_fract_x
_atom_site_fract_y
_atom_site_fract_z
Tl1 Tl 0.000 0.000 0.000
Tl2 Tl 0.750 0.250 0.500
Sn1 Sn 0.588 0.125 0.250
Sn2 Sn 0.162 0.625 0.250
Sn3 Sn 0.375 0.412 0.750
Sn4 Sn 0.875 0.838 0.750
Ga1 Ga 0.500 0.500 0.000
Ga2 Ga 0.250 0.750 0.500

***

Q) # TlGaSn2 GGA-PBE relaxed
# size of the total moment = 0.0 μB/cell
data_TlGaSn2
_symmetry_space_group_name_H-M 'P 1'
_symmetry_Int_Tables_number 1
_symmetry_space_group_name_Hall 'P 1'
_cell_length_a 4.147
_cell_length_b 4.147
_cell_length_c 7.917
_cell_angle_alpha 74.82
_cell_angle_beta 74.82
_cell_angle_gamma 60.00
loop_
_atom_site_label
_atom_site_type_symbol
_atom_site_fract_x
_atom_site_fract_y
_atom_site_fract_z
Tl1 Tl 0.500 0.500 0.500
Sn1 Sn 0.267 0.267 0.198
Sn2 Sn 0.733 0.733 0.802
Ga1 Ga 0.000 0.000 0.000

***

Verdict on stability: Q) comes out on top.